No. 1
# MnGa2PBr (PBE-GGA, optimized geometry)
# formation energy from raw total energies	-0.1070	eV per atom
# E_tot	-22.84	eV/f.u.
# crystal system	tetragonal
data_MnGa2PBr
_symmetry_space_group_name_H-M 'P 4/m m m'
_symmetry_Int_Tables_number 123
_symmetry_space_group_name_Hall '-P 4 2'
_cell_length_a 5.092
_cell_length_b 5.092
_cell_length_c 4.217
_cell_angle_alpha 90.00
_cell_angle_beta 90.00
_cell_angle_gamma 90.00
loop_
_atom_site_label
_atom_site_type_symbol
_atom_site_fract_x
_atom_site_fract_y
_atom_site_fract_z
_atom_site_occupancy
Mn1 Mn 0.000 0.000 0.000 1
Ga1 Ga 0.000 0.500 0.000 1
P1 P 0.000 0.000 0.500 1
Br1 Br 0.500 0.500 0.500 1

=====

No. 2
# RbMnGa2Br8 (PBE-GGA, optimized geometry)
# formation energy from raw total energies	-0.8704	eV per atom
# E_tot	-40.02	eV/f.u.
# crystal system	trigonal
data_RbMnGa2Br8
_symmetry_space_group_name_H-M 'R -3'
_symmetry_Int_Tables_number 148
_symmetry_space_group_name_Hall '-R 3'
_cell_length_a 6.8371
_cell_length_b 6.8371
_cell_length_c 30.0342
_cell_angle_alpha 90.00
_cell_angle_beta 90.00
_cell_angle_gamma 120.00
loop_
_atom_site_label
_atom_site_type_symbol
_atom_site_fract_x
_atom_site_fract_y
_atom_site_fract_z
_atom_site_occupancy
Rb1 Rb 0.0000 0.0000 0.0000 1
Mn1 Mn 0.0000 0.0000 0.5000 1
Ga1 Ga 0.0000 0.0000 0.2431 1
Br1 Br 0.0000 0.0000 0.3233 1
Br2 Br 0.0065 0.6841 0.5528 1

=====

No. 3
# MnGaSe2Br (PBE-GGA, optimized geometry)
# ΔE to the lowest computed polymorph	374	meV per atom
# formation energy from raw total energies	0.2359	eV per atom
# E_tot	-19.66	eV/f.u.
# crystal system	tetragonal
data_MnGaSe2Br
_symmetry_space_group_name_H-M 'P 4/m m m'
_symmetry_Int_Tables_number 123
_symmetry_space_group_name_Hall '-P 4 2'
_cell_length_a 4.988
_cell_length_b 4.988
_cell_length_c 5.129
_cell_angle_alpha 90.00
_cell_angle_beta 90.00
_cell_angle_gamma 90.00
loop_
_atom_site_label
_atom_site_type_symbol
_atom_site_fract_x
_atom_site_fract_y
_atom_site_fract_z
_atom_site_occupancy
Mn1 Mn 0.000 0.000 0.000 1
Ga1 Ga 0.500 0.500 0.500 1
Se1 Se 0.000 0.500 0.500 1
Br1 Br 0.500 0.500 0.000 1

=====

No. 4
# MnGaSe2Br (PBE-GGA, optimized geometry)
# ΔE to the lowest computed polymorph	0	meV per atom
# formation energy from raw total energies	-0.1380	eV per atom
# E_tot	-21.53	eV/f.u.
# crystal system	tetragonal
data_MnGaSe2Br
_symmetry_space_group_name_H-M 'P 4/m m m'
_symmetry_Int_Tables_number 123
_symmetry_space_group_name_Hall '-P 4 2'
_cell_length_a 4.843
_cell_length_b 4.843
_cell_length_c 5.381
_cell_angle_alpha 90.00
_cell_angle_beta 90.00
_cell_angle_gamma 90.00
loop_
_atom_site_label
_atom_site_type_symbol
_atom_site_fract_x
_atom_site_fract_y
_atom_site_fract_z
_atom_site_occupancy
Mn1 Mn 0.000 0.000 0.000 1
Ga1 Ga 0.500 0.500 0.500 1
Se1 Se 0.000 0.500 0.000 1
Br1 Br 0.000 0.000 0.500 1

=====

No. 5
# MnGaSeBr2 (PBE-GGA, optimized geometry)
# ΔE to the lowest computed polymorph	0	meV per atom
# formation energy from raw total energies	-0.3060	eV per atom
# E_tot	-20.56	eV/f.u.
# crystal system	tetragonal
data_MnGaSeBr2
_symmetry_space_group_name_H-M 'P 4/m m m'
_symmetry_Int_Tables_number 123
_symmetry_space_group_name_Hall '-P 4 2'
_cell_length_a 5.233
_cell_length_b 5.233
_cell_length_c 4.905
_cell_angle_alpha 90.00
_cell_angle_beta 90.00
_cell_angle_gamma 90.00
loop_
_atom_site_label
_atom_site_type_symbol
_atom_site_fract_x
_atom_site_fract_y
_atom_site_fract_z
_atom_site_occupancy
Mn1 Mn 0.000 0.000 0.000 1
Ga1 Ga 0.500 0.500 0.500 1
Se1 Se 0.000 0.000 0.500 1
Br1 Br 0.000 0.500 0.000 1

=====

No. 6
# MnGaSeBr2 (PBE-GGA, optimized geometry)
# ΔE to the lowest computed polymorph	404	meV per atom
# formation energy from raw total energies	0.0985	eV per atom
# E_tot	-18.53	eV/f.u.
# crystal system	tetragonal
data_MnGaSeBr2
_symmetry_space_group_name_H-M 'P 4/m m m'
_symmetry_Int_Tables_number 123
_symmetry_space_group_name_Hall '-P 4 2'
_cell_length_a 5.081
_cell_length_b 5.081
_cell_length_c 5.124
_cell_angle_alpha 90.00
_cell_angle_beta 90.00
_cell_angle_gamma 90.00
loop_
_atom_site_label
_atom_site_type_symbol
_atom_site_fract_x
_atom_site_fract_y
_atom_site_fract_z
_atom_site_occupancy
Mn1 Mn 0.000 0.000 0.000 1
Ga1 Ga 0.500 0.500 0.500 1
Se1 Se 0.500 0.500 0.000 1
Br1 Br 0.000 0.500 0.500 1

=====

No. 7
# MnTlGaBr4 (PBE-GGA, optimized geometry)
# formation energy from raw total energies	-0.7307	eV per atom
# E_tot	-26.37	eV/f.u.
# crystal system	monoclinic
data_MnTlGaBr4
_symmetry_space_group_name_H-M 'P 1 21/m 1'
_symmetry_Int_Tables_number 11
_symmetry_space_group_name_Hall '-P 2yb'
_cell_length_a 7.438
_cell_length_b 7.690
_cell_length_c 9.004
_cell_angle_alpha 90.00
_cell_angle_beta 107.70
_cell_angle_gamma 90.00
loop_
_atom_site_label
_atom_site_type_symbol
_atom_site_fract_x
_atom_site_fract_y
_atom_site_fract_z
_atom_site_occupancy
Mn1 Mn 0.234 0.250 0.314 1
Tl1 Tl 0.241 0.750 0.053 1
Ga1 Ga 0.230 0.750 0.543 1
Br1 Br 0.013 0.504 0.257 1
Br2 Br 0.437 0.250 0.140 1
Br3 Br 0.447 0.250 0.587 1

=====

No. 8
# MnVGa2Br (PBE-GGA, optimized geometry)
# formation energy from raw total energies	1.0520	eV per atom
# E_tot	-20.76	eV/f.u.
# crystal system	tetragonal
data_MnVGa2Br
_symmetry_space_group_name_H-M 'P 4/m m m'
_symmetry_Int_Tables_number 123
_symmetry_space_group_name_Hall '-P 4 2'
_cell_length_a 4.604
_cell_length_b 4.604
_cell_length_c 4.847
_cell_angle_alpha 90.00
_cell_angle_beta 90.00
_cell_angle_gamma 90.00
loop_
_atom_site_label
_atom_site_type_symbol
_atom_site_fract_x
_atom_site_fract_y
_atom_site_fract_z
_atom_site_occupancy
Mn1 Mn 0.000 0.000 0.000 1
V1 V 0.500 0.500 0.500 1
Ga1 Ga 0.000 0.500 0.000 1
Br1 Br 0.000 0.000 0.500 1

=====

No. 9
# ZrMn2GaBr (PBE-GGA, optimized geometry)
# formation energy from raw total energies	0.8760	eV per atom
# E_tot	-27.21	eV/f.u.
# crystal system	tetragonal
data_ZrMn2GaBr
_symmetry_space_group_name_H-M 'P 4/m m m'
_symmetry_Int_Tables_number 123
_symmetry_space_group_name_Hall '-P 4 2'
_cell_length_a 5.083
_cell_length_b 5.083
_cell_length_c 5.262
_cell_angle_alpha 90.00
_cell_angle_beta 90.00
_cell_angle_gamma 90.00
loop_
_atom_site_label
_atom_site_type_symbol
_atom_site_fract_x
_atom_site_fract_y
_atom_site_fract_z
_atom_site_occupancy
Zr1 Zr 0.000 0.000 0.000 1
Mn1 Mn 0.000 0.500 0.000 1
Ga1 Ga 0.500 0.500 0.500 1
Br1 Br 0.000 0.000 0.500 1

=====

No. 10
# GaMo3Br (PBE-GGA, optimized geometry)
# ΔE to the lowest computed polymorph	0	meV per atom
# formation energy from raw total energies	1.5204	eV per atom
# E_tot	-29.59	eV/f.u.
# crystal system	cubic
data_GaMo3Br
_symmetry_space_group_name_H-M 'P m -3 m'
_symmetry_Int_Tables_number 221
_symmetry_space_group_name_Hall '-P 4 2 3'
_cell_length_a 4.598
_cell_length_b 4.598
_cell_length_c 4.598
_cell_angle_alpha 90.00
_cell_angle_beta 90.00
_cell_angle_gamma 90.00
loop_
_atom_site_label
_atom_site_type_symbol
_atom_site_fract_x
_atom_site_fract_y
_atom_site_fract_z
_atom_site_occupancy
Ga1 Ga 0.000 0.000 0.000 1
Mo1 Mo 0.000 0.500 0.500 1
Br1 Br 0.500 0.500 0.500 1

=====

No. 11
# GaMo2Br2 (PBE-GGA, optimized geometry)
# ΔE to the lowest computed polymorph	0	meV per atom
# formation energy from raw total energies	0.7435	eV per atom
# E_tot	-24.32	eV/f.u.
# crystal system	tetragonal
data_GaMo2Br2
_symmetry_space_group_name_H-M 'I 4/m m m'
_symmetry_Int_Tables_number 139
_symmetry_space_group_name_Hall '-I 4 2'
_cell_length_a 4.139
_cell_length_b 4.139
_cell_length_c 12.822
_cell_angle_alpha 90.00
_cell_angle_beta 90.00
_cell_angle_gamma 90.00
loop_
_atom_site_label
_atom_site_type_symbol
_atom_site_fract_x
_atom_site_fract_y
_atom_site_fract_z
_atom_site_occupancy
Ga1 Ga 0.000 0.000 0.000 1
Mo1 Mo 0.000 0.500 0.250 1
Br1 Br 0.000 0.000 0.367 1

=====

No. 12
# Ga2MoBr (PBE-GGA, optimized geometry)
# ΔE to the lowest computed polymorph	70	meV per atom
# formation energy from raw total energies	0.8701	eV per atom
# E_tot	-15.08	eV/f.u.
# crystal system	cubic
data_Ga2MoBr
_symmetry_space_group_name_H-M 'F m -3 m'
_symmetry_Int_Tables_number 225
_symmetry_space_group_name_Hall '-F 4 2 3'
_cell_length_a 6.694
_cell_length_b 6.694
_cell_length_c 6.694
_cell_angle_alpha 90.00
_cell_angle_beta 90.00
_cell_angle_gamma 90.00
loop_
_atom_site_label
_atom_site_type_symbol
_atom_site_fract_x
_atom_site_fract_y
_atom_site_fract_z
_atom_site_occupancy
Ga1 Ga 0.250 0.250 0.250 1
Mo1 Mo 0.000 0.000 0.000 1
Br1 Br 0.000 0.000 0.500 1